No. 1
Computed, not measured: a geometry-optimized LuZrAlTc structure at the PBE-GGA level of DFT.

abc: 4.7925 4.7925 4.7925
angles: 60.00 60.00 60.00
Last column: nearest neighbours and their distance in Å.
Element x y z (fractional)
Zr 0.0000 0.0000 0.0000  4 Al 2.93, 4 Tc 2.93
Lu 0.5000 0.5000 0.5000  4 Tc 2.93, 4 Al 2.93
Tc 0.2500 0.2500 0.2500  4 Zr 2.93, 4 Lu 2.93
Al 0.7500 0.7500 0.7500  4 Lu 2.93, 4 Zr 2.93

E (eV for the cell shown): -28.4
Fermi-level density of states (states/eV/f.u.): 1.96



No. 2
Computed, not measured: a geometry-optimized LuAlTe2 structure at the PBE-GGA level of DFT.

abc: 4.0100 4.0100 9.3533
angles: 77.62 77.62 60.00
Last column: nearest neighbours and their distance in Å.
Element x y z (fractional)
Te 0.1092 0.1092 0.6725  3 Al 2.79, 1 Lu 2.97
Te 0.8908 0.8908 0.3275  3 Al 2.79, 1 Lu 2.97
Lu 0.0000 0.0000 0.0000  2 Te 2.97
Al 0.5000 0.5000 0.5000  6 Te 2.79

E (eV for the cell shown): -15.6
Formation energy without anion corrections (kcal/mol of atoms): -6.3
Fermi-level density of states (states/eV/f.u.): 2.03



No. 3
Computed, not measured: a geometry-optimized LuThAl2 structure at the PBE-GGA level of DFT.

abc: 3.5833 3.5833 7.4438
angles: 90.00 90.00 90.00
Last column: nearest neighbours and their distance in Å.
Element x y z (fractional)
Al 0.0000 0.0000 0.7718  4 Lu 3.05, 4 Th 3.24, 1 Al 3.40
Al 0.0000 0.0000 0.2282  4 Lu 3.05, 4 Th 3.24, 1 Al 3.40
Th 0.5000 0.5000 0.5000  8 Al 3.24, 4 Th 3.58
Lu 0.5000 0.5000 0.0000  8 Al 3.05

E (eV for the cell shown): -20.7
Excess energy over the best structure of this formula in the dataset (eV/atom): 0.000
Fermi-level density of states (states/eV/f.u.): 2.33



No. 4
Computed, not measured: a geometry-optimized LuTh2Al structure at the PBE-GGA level of DFT.

abc: 3.4520 3.4520 9.5892
angles: 90.00 90.00 90.00
Last column: nearest neighbours and their distance in Å.
Element x y z (fractional)
Th 0.0000 0.0000 0.7766  4 Al 3.25, 4 Th 3.45, 4 Lu 3.60
Th 0.0000 0.0000 0.2234  4 Al 3.25, 4 Th 3.45, 4 Lu 3.60
Lu 0.5000 0.5000 0.5000  4 Lu 3.45, 8 Th 3.60
Al 0.5000 0.5000 0.0000  8 Th 3.25, 4 Al 3.45

E (eV for the cell shown): -23.3
Excess energy over the best structure of this formula in the dataset (eV/atom): 0.076
Fermi-level density of states (states/eV/f.u.): 6.00



No. 5
Computed, not measured: a geometry-optimized LuTh2Al structure at the PBE-GGA level of DFT.

abc: 3.5117 3.5117 11.0632
angles: 80.87 80.87 60.00
Last column: nearest neighbours and their distance in Å.
Element x y z (fractional)
Th 0.7432 0.7432 0.7703  3 Al 3.22, 6 Th 3.51, 3 Lu 3.57
Th 0.2568 0.2568 0.2297  3 Al 3.22, 6 Th 3.51, 3 Lu 3.57
Al 0.0000 0.0000 0.0000  6 Th 3.22, 6 Al 3.51
Lu 0.5000 0.5000 0.5000  6 Lu 3.51, 6 Th 3.57

E (eV for the cell shown): -22.9
Excess energy over the best structure of this formula in the dataset (eV/atom): 0.184
Fermi-level density of states (states/eV/f.u.): 5.13



No. 6
Computed, not measured: a geometry-optimized LuTh2Al structure at the PBE-GGA level of DFT.

abc: 5.4176 5.4176 5.4176
angles: 60.00 60.00 60.00
Last column: nearest neighbours and their distance in Å.
Element x y z (fractional)
Th 0.2500 0.2500 0.2500  4 Al 3.32, 4 Lu 3.32
Th 0.7500 0.7500 0.7500  4 Lu 3.32, 4 Al 3.32
Lu 0.5000 0.5000 0.5000  8 Th 3.32
Al 0.0000 0.0000 0.0000  8 Th 3.32

E (eV for the cell shown): -22.9
Excess energy over the best structure of this formula in the dataset (eV/atom): 0.175
Fermi-level density of states (states/eV/f.u.): 5.98



No. 7
Computed, not measured: a geometry-optimized LuTh2Al structure at the PBE-GGA level of DFT.

abc: 4.8539 4.7718 4.7718
angles: 90.00 90.00 90.00
Last column: nearest neighbours and their distance in Å.
Element x y z (fractional)
Th 0.0000 0.0000 0.5000  4 Th 3.37, 4 Al 3.40, 4 Lu 3.40
Th 0.0000 0.5000 0.0000  4 Th 3.37, 4 Al 3.40, 4 Lu 3.40
Al 0.5000 0.0000 0.0000  4 Lu 3.37, 8 Th 3.40
Lu 0.5000 0.5000 0.5000  4 Al 3.37, 8 Th 3.40

E (eV for the cell shown): -23.6
Excess energy over the best structure of this formula in the dataset (eV/atom): 0.000
Fermi-level density of states (states/eV/f.u.): 4.44



No. 8
Computed, not measured: a geometry-optimized LuThAl2 structure at the PBE-GGA level of DFT.

abc: 4.2095 4.8043 4.8043
angles: 90.00 90.00 90.00
Last column: nearest neighbours and their distance in Å.
Element x y z (fractional)
Lu 0.5000 0.5000 0.5000  8 Al 3.19, 4 Th 3.40
Al 0.0000 0.5000 0.0000  4 Th 3.19, 4 Lu 3.19, 4 Al 3.40
Al 0.0000 0.0000 0.5000  4 Lu 3.19, 4 Th 3.19, 4 Al 3.40
Th 0.5000 0.0000 0.0000  8 Al 3.19, 4 Lu 3.40

E (eV for the cell shown): -20.5
Excess energy over the best structure of this formula in the dataset (eV/atom): 0.039
Fermi-level density of states (states/eV/f.u.): 3.40



No. 9
Computed, not measured: a geometry-optimized LuThAl2 structure at the PBE-GGA level of DFT.

abc: 3.4543 3.4543 9.9877
angles: 80.04 80.04 60.00
Last column: nearest neighbours and their distance in Å.
Element x y z (fractional)
Al 0.7461 0.7461 0.7617  3 Lu 3.07, 3 Th 3.25
Al 0.2539 0.2539 0.2383  3 Lu 3.07, 3 Th 3.25
Lu 0.0000 0.0000 0.0000  6 Al 3.07
Th 0.5000 0.5000 0.5000  6 Al 3.25, 6 Th 3.45

E (eV for the cell shown): -19.8
Excess energy over the best structure of this formula in the dataset (eV/atom): 0.228
Fermi-level density of states (states/eV/f.u.): 4.14



No. 10
Computed, not measured: a geometry-optimized LuThAl2 structure at the PBE-GGA level of DFT.

abc: 5.1434 5.1434 5.1434
angles: 60.00 60.00 60.00
Last column: nearest neighbours and their distance in Å.
Element x y z (fractional)
Th 0.0000 0.0000 0.0000  8 Al 3.15
Lu 0.5000 0.5000 0.5000  8 Al 3.15
Al 0.2500 0.2500 0.2500  4 Th 3.15, 4 Lu 3.15
Al 0.7500 0.7500 0.7500  4 Lu 3.15, 4 Th 3.15

E (eV for the cell shown): -20.5
Excess energy over the best structure of this formula in the dataset (eV/atom): 0.033
Fermi-level density of states (states/eV/f.u.): 3.78



No. 11
Computed, not measured: a geometry-optimized LuThAlTl structure at the PBE-GGA level of DFT.

abc: 5.2985 5.2985 5.2985
angles: 60.00 60.00 60.00
Last column: nearest neighbours and their distance in Å.
Element x y z (fractional)
Al 0.5000 0.5000 0.5000  4 Th 3.24, 4 Lu 3.24
Lu 0.2500 0.2500 0.2500  4 Al 3.24, 4 Tl 3.24
Th 0.7500 0.7500 0.7500  4 Al 3.24, 4 Tl 3.24
Tl 0.0000 0.0000 0.0000  4 Lu 3.24, 4 Th 3.24

E (eV for the cell shown): -18.7
Fermi-level density of states (states/eV/f.u.): 4.58



No. 12
Computed, not measured: a geometry-optimized TmLuThAl structure at the PBE-GGA level of DFT.

abc: 5.3218 5.3218 5.3218
angles: 60.00 60.00 60.00
Last column: nearest neighbours and their distance in Å.
Element x y z (fractional)
Th 0.0000 0.0000 0.0000  4 Lu 3.26, 4 Al 3.26
Tm 0.5000 0.5000 0.5000  4 Al 3.26, 4 Lu 3.26
Al 0.2500 0.2500 0.2500  4 Th 3.26, 4 Tm 3.26
Lu 0.7500 0.7500 0.7500  4 Th 3.26, 4 Tm 3.26

E (eV for the cell shown): -20.3
Fermi-level density of states (states/eV/f.u.): 6.86